The following is a DFT calculation (GGA-PBE) of Ba2LiBrN after structural relaxation.

spin magnetization	0.16	μB per cell
space-group type	P4/mmm, No. 123
total energy	-3.934	eV per atom

The structure in POSCAR format:
```
Ba2LiBrN
1.0
-0.4154 5.6183 0.9884
-2.9466 0.6373 -4.8607
-3.4819 -0.6146 2.0302
Ba Br N Li
2 1 1 1
direct
0.0000 0.5000 0.0000
0.5000 0.0000 0.0000
0.5000 0.5000 0.5000
0.0000 0.0000 0.0000
0.0000 0.0000 0.5000
```